The following is a PBE calculation of a geometry-optimized MgInW2 structure, from the Alexandria database.

Crystal system: orthorhombic
Calculated volume in Å³ per cell: 73.1
Total magnetic moment in μB per atom: 0.00
ΔE_f in meV per atom: 491
Mass density in g/cm3: 11.5
E_tot in eV per atom: -7.0691

Cell lengths 5.339, 5.339, 5.339 Å; angles 142.08, 127.47, 66.59 degrees
Fractional positions:
In 0.505 0.505 0.000
Mg 0.242 0.742 0.500
W 0.772 0.272 0.500
W 0.980 0.980 0.000



The following is a PBE calculation of a geometry-optimized YTlIn2 structure, from the Alexandria database.

Crystal system: tetragonal
Calculated volume in Å³ per cell: 113.3
Total magnetic moment in μB per atom: 0.07
ΔE_f in meV per atom: -163
Mass density in g/cm3: 7.7
E_tot in eV per atom: -3.7395

Cell lengths 3.457, 3.457, 9.478 Å; angles 90.00, 90.00, 89.99 degrees
Each line ends with the local moment (μB).
Fractional positions:
Tl 0.500 0.500 0.250  0.00
In 0.000 0.000 0.980  0.00
In 0.000 0.000 0.520  0.00
Y 0.500 0.500 0.750  0.15



The following is a PBE calculation of a geometry-optimized VOsRu2 structure, from the Alexandria database.

Crystal system: trigonal
Calculated volume in Å³ per cell: 56.0
Total magnetic moment in μB per atom: 0.00
ΔE_f in meV per atom: 49
Mass density in g/cm3: 13.1
E_tot in eV per atom: -9.6756

Cell lengths 2.718, 2.718, 8.890 Å; angles 81.21, 81.21, 60.00 degrees
Fractional positions:
Ru 0.252 0.252 0.245
Ru 0.748 0.748 0.755
V 0.000 0.000 0.000
Os 0.500 0.500 0.500



The following is a PBE calculation of a geometry-optimized SmEuIn structure, from the Alexandria database.

Crystal system: tetragonal
Calculated volume in Å³ per cell: 97.0
Total magnetic moment in μB per atom: 2.64
ΔE_f in meV per atom: -268
Mass density in g/cm3: 7.1
E_tot in eV per atom: -6.1789

Cell lengths 3.797, 3.797, 7.246 Å; angles 105.19, 105.19, 90.00 degrees
Each line ends with the local moment (μB).
Fractional positions:
Eu 0.965 0.965 0.929  6.95
In 0.622 0.622 0.244  0.00
Sm 0.263 0.263 0.527  0.20



The following is a PBE calculation of a geometry-optimized Ag2TeCl structure, from the Alexandria database.

Crystal system: tetragonal
Calculated volume in Å³ per cell: 107.7
Total magnetic moment in μB per atom: 0.06
Mass density in g/cm3: 5.8
E_tot in eV per atom: -2.6978
Formation energy without anion corrections in eV per atom: -0.025

Cell lengths 7.580, 7.580, 7.580 Å; angles 150.13, 150.13, 42.75 degrees
Each line ends with the local moment (μB).
Fractional positions:
Ag 0.000 0.000 0.000  0.01
Ag 0.250 0.750 0.500  0.02
Cl 0.500 0.500 0.000  0.01
Te 0.750 0.250 0.500  0.11



The following is a PBE calculation of a geometry-optimized TbZn5Ni2Rh structure, from the Alexandria database.

Crystal system: tetragonal
Calculated volume in Å³ per cell: 146.2
Total magnetic moment in μB per atom: 0.00
ΔE_f in meV per atom: -119
Mass density in g/cm3: 8.0
E_tot in eV per atom: -3.4429

Cell lengths 4.609, 4.609, 6.879 Å; angles 90.00, 90.00, 90.00 degrees
Fractional positions:
Zn 0.500 0.000 0.200
Zn 0.500 0.500 0.500
Zn 0.000 0.500 0.200
Zn 0.000 0.500 0.800
Zn 0.500 0.000 0.800
Ni 0.500 0.500 0.164
Ni 0.500 0.500 0.836
Rh 0.000 0.000 0.000
Tb 0.000 0.000 0.500



The following is a PBE calculation of a geometry-optimized Cd3Ni5Br12 structure, from the Alexandria database.

Crystal system: cubic
Calculated volume in Å³ per cell: 2051.8
Total magnetic moment in μB per atom: 0.31
Mass density in g/cm3: 5.1
E_tot in eV per atom: -2.8909
Formation energy without anion corrections in eV per atom: -0.305

Cell lengths 13.865, 13.865, 13.865 Å; angles 109.47, 109.47, 109.47 degrees
Each line ends with the local moment (μB).
Fractional positions:
Ni 0.375 0.250 0.125  0.93
Ni 0.625 0.750 0.875  0.93
Ni 0.750 0.125 0.875  0.93
Ni 0.875 0.250 0.625  0.93
Ni 0.125 0.750 0.375  0.93
Ni 0.500 0.000 0.500  1.11
Ni 0.000 0.500 0.000  1.11
Ni 0.500 0.000 0.000  1.11
Ni 0.250 0.375 0.625  0.93
Ni 0.375 0.125 0.750  0.93
Ni 0.875 0.625 0.750  0.93
Ni 0.000 0.000 0.000  1.11
Ni 0.500 0.500 0.500  1.11
Ni 0.500 0.500 0.000  1.11
Ni 0.125 0.375 0.250  0.93
Ni 0.250 0.875 0.125  0.93
Ni 0.000 0.000 0.500  1.11
Ni 0.750 0.625 0.375  0.93
Ni 0.000 0.500 0.500  1.11
Ni 0.625 0.875 0.250  0.93
Br 0.428 0.128 0.605  0.08
Br 0.300 0.428 0.823  0.08
Br 0.977 0.372 0.300  0.08
Br 0.628 0.605 0.928  0.08
Br 0.105 0.928 0.128  0.08
Br 0.177 0.072 0.700  0.08
Br 0.605 0.628 0.428  0.08
Br 0.605 0.977 0.677  0.08
Br 0.300 0.872 0.977  0.08
Br 0.428 0.300 0.323  0.08
Br 0.700 0.128 0.023  0.08
Br 0.128 0.700 0.523  0.08
Br 0.023 0.395 0.823  0.08
Br 0.895 0.823 0.523  0.08
Br 0.395 0.023 0.323  0.08
Br 0.928 0.105 0.628  0.08
Br 0.800 0.323 0.928  0.08
Br 0.628 0.023 0.200  0.08
Br 0.572 0.872 0.395  0.08
Br 0.677 0.200 0.572  0.08
Br 0.928 0.823 0.800  0.08
Br 0.128 0.428 0.105  0.08
Br 0.477 0.800 0.872  0.08
Br 0.872 0.300 0.477  0.08
Br 0.477 0.677 0.105  0.08
Br 0.677 0.477 0.605  0.08
Br 0.323 0.800 0.428  0.08
Br 0.895 0.072 0.872  0.08
Br 0.372 0.395 0.072  0.08
Br 0.700 0.572 0.177  0.08
Br 0.200 0.523 0.628  0.08
Br 0.072 0.895 0.372  0.08
Br 0.823 0.928 0.300  0.08
Br 0.823 0.895 0.023  0.08
Br 0.977 0.605 0.177  0.08
Br 0.395 0.372 0.572  0.08
Br 0.872 0.572 0.895  0.08
Br 0.177 0.105 0.977  0.08
Br 0.572 0.700 0.677  0.08
Br 0.023 0.628 0.700  0.08
Br 0.372 0.977 0.800  0.08
Br 0.105 0.177 0.477  0.08
Br 0.072 0.177 0.200  0.08
Br 0.800 0.477 0.372  0.08
Br 0.323 0.523 0.395  0.08
Br 0.523 0.200 0.128  0.08
Br 0.200 0.677 0.072  0.08
Br 0.523 0.323 0.895  0.08
Cd 0.125 0.250 0.875  -0.04
Cd 0.375 0.625 0.250  -0.04
Cd 0.750 0.375 0.125  -0.04
Cd 0.750 0.875 0.625  -0.04
Cd 0.625 0.375 0.750  -0.04
Cd 0.375 0.750 0.625  -0.04
Cd 0.875 0.750 0.125  -0.04
Cd 0.625 0.250 0.375  -0.04
Cd 0.250 0.125 0.375  -0.04
Cd 0.250 0.625 0.875  -0.04
Cd 0.125 0.875 0.750  -0.04
Cd 0.875 0.125 0.250  -0.04



The following is a PBE calculation of a geometry-optimized Nd5Te7 structure, from the Alexandria database.

Crystal system: monoclinic
Calculated volume in Å³ per cell: 422.3
Total magnetic moment in μB per atom: 0.00
Mass density in g/cm3: 6.3
E_tot in eV per atom: -5.2532
Formation energy without anion corrections in eV per atom: -1.434

Cell lengths 4.369, 7.696, 13.520 Å; angles 103.77, 90.00, 106.49 degrees
Fractional positions:
Nd 0.885 0.770 0.577
Nd 0.000 0.000 0.000
Nd 0.115 0.230 0.423
Nd 0.300 0.599 0.188
Nd 0.700 0.401 0.812
Te 0.742 0.484 0.349
Te 0.258 0.516 0.651
Te 0.661 0.323 0.048
Te 0.038 0.077 0.783
Te 0.339 0.677 0.952
Te 0.962 0.923 0.217
Te 0.500 0.000 0.500



The following is a PBE calculation of a geometry-optimized Sm2MgPd3 structure, from the Alexandria database.

Crystal system: orthorhombic
Calculated volume in Å³ per cell: 136.4
Total magnetic moment in μB per atom: 0.00
ΔE_f in meV per atom: -609
Mass density in g/cm3: 7.8
E_tot in eV per atom: -5.0438

Cell lengths 4.428, 5.623, 6.544 Å; angles 115.44, 109.77, 90.00 degrees
Fractional positions:
Pd 0.369 0.369 0.738
Pd 0.000 0.000 0.000
Pd 0.631 0.631 0.262
Mg 0.000 0.500 0.000
Sm 0.319 0.819 0.638
Sm 0.681 0.181 0.362



The following is a PBE calculation of a geometry-optimized Ga2Cu2Au structure, from the Alexandria database.

Crystal system: tetragonal
Calculated volume in Å³ per cell: 153.9
Total magnetic moment in μB per atom: 0.00
ΔE_f in meV per atom: -27
Mass density in g/cm3: 10.0
E_tot in eV per atom: -3.5313

Cell lengths 6.861, 6.861, 3.269 Å; angles 90.00, 90.00, 90.00 degrees
Fractional positions:
Cu 0.869 0.631 0.000
Cu 0.131 0.369 0.000
Cu 0.369 0.869 0.000
Cu 0.631 0.131 0.000
Ga 0.333 0.167 0.500
Ga 0.667 0.833 0.500
Ga 0.833 0.333 0.500
Ga 0.167 0.667 0.500
Au 0.500 0.500 0.000
Au 0.000 0.000 0.000



The following is a PBE calculation of a geometry-optimized HfTe2P structure, from the Alexandria database.

Crystal system: tetragonal
Calculated volume in Å³ per cell: 265.9
Total magnetic moment in μB per atom: 0.00
Mass density in g/cm3: 5.8
E_tot in eV per atom: -5.0177
Formation energy without anion corrections in eV per atom: 0.394

Cell lengths 6.463, 6.463, 7.836 Å; angles 65.64, 65.64, 90.00 degrees
Fractional positions:
P 0.500 0.500 0.000
P 0.250 0.750 0.500
Te 0.875 0.876 0.750
Te 0.375 0.374 0.750
Te 0.124 0.625 0.250
Te 0.626 0.125 0.250
Hf 0.750 0.250 0.500
Hf 0.000 0.000 0.000



The following is a PBE calculation of a geometry-optimized Ba3ZnTe structure, from the Alexandria database.

Crystal system: cubic
Calculated volume in Å³ per cell: 246.5
Total magnetic moment in μB per atom: 0.00
Mass density in g/cm3: 4.1
E_tot in eV per atom: -2.4086
Formation energy without anion corrections in eV per atom: -0.372

Cell lengths 6.270, 6.270, 6.270 Å; angles 90.00, 90.00, 90.00 degrees
Fractional positions:
Ba 0.500 0.000 0.000
Ba 0.000 0.000 0.500
Ba 0.000 0.500 0.000
Zn 0.000 0.000 0.000
Te 0.500 0.500 0.500



The following is a PBE calculation of a geometry-optimized BeOsAu2 structure, from the Alexandria database.

Crystal system: tetragonal
Calculated volume in Å³ per cell: 60.7
Total magnetic moment in μB per atom: 0.00
ΔE_f in meV per atom: 580
Mass density in g/cm3: 16.2
E_tot in eV per atom: -4.7975

Cell lengths 4.769, 4.769, 4.769 Å; angles 130.86, 130.86, 72.03 degrees
Fractional positions:
Be 0.250 0.750 0.500
Au 0.500 0.500 0.000
Au 0.000 0.000 0.000
Os 0.750 0.250 0.500



The following is a PBE calculation of a geometry-optimized Mg2PW structure, from the Alexandria database.

Crystal system: tetragonal
Calculated volume in Å³ per cell: 63.5
Total magnetic moment in μB per atom: 0.00
ΔE_f in meV per atom: 259
Mass density in g/cm3: 6.9
E_tot in eV per atom: -5.1288

Cell lengths 5.321, 5.321, 5.321 Å; angles 139.27, 139.27, 58.97 degrees
Fractional positions:
Mg 0.000 0.000 0.000
Mg 0.500 0.500 0.000
P 0.250 0.750 0.500
W 0.750 0.250 0.500



The following is a PBE calculation of a geometry-optimized Cd12Sb3Au5 structure, from the Alexandria database.

Crystal system: cubic
Calculated volume in Å³ per cell: 2319.2
Total magnetic moment in μB per atom: 0.00
Mass density in g/cm3: 7.7
E_tot in eV per atom: -1.8956
Formation energy without anion corrections in eV per atom: 0.091

Cell lengths 14.443, 14.443, 14.443 Å; angles 109.47, 109.47, 109.47 degrees
Fractional positions:
Cd 0.371 0.946 0.779
Cd 0.054 0.629 0.721
Cd 0.908 0.833 0.779
Cd 0.092 0.167 0.221
Cd 0.279 0.871 0.946
Cd 0.279 0.408 0.833
Cd 0.129 0.721 0.554
Cd 0.129 0.408 0.075
Cd 0.221 0.554 0.629
Cd 0.721 0.592 0.167
Cd 0.667 0.446 0.575
Cd 0.221 0.667 0.092
Cd 0.721 0.129 0.054
Cd 0.575 0.946 0.667
Cd 0.667 0.221 0.592
Cd 0.779 0.446 0.371
Cd 0.833 0.925 0.054
Cd 0.871 0.592 0.925
Cd 0.871 0.279 0.446
Cd 0.425 0.371 0.592
Cd 0.554 0.221 0.129
Cd 0.575 0.629 0.408
Cd 0.075 0.167 0.446
Cd 0.408 0.279 0.333
Cd 0.333 0.779 0.408
Cd 0.554 0.333 0.925
Cd 0.925 0.833 0.554
Cd 0.333 0.554 0.425
Cd 0.446 0.779 0.871
Cd 0.075 0.908 0.129
Cd 0.092 0.925 0.371
Cd 0.408 0.129 0.575
Cd 0.629 0.575 0.908
Cd 0.925 0.092 0.871
Cd 0.946 0.575 0.167
Cd 0.946 0.371 0.279
Cd 0.425 0.054 0.333
Cd 0.592 0.871 0.425
Cd 0.908 0.075 0.629
Cd 0.371 0.425 0.092
Cd 0.592 0.721 0.667
Cd 0.629 0.054 0.221
Cd 0.779 0.333 0.908
Cd 0.833 0.908 0.279
Cd 0.446 0.667 0.075
Cd 0.167 0.075 0.946
Cd 0.054 0.425 0.833
Cd 0.167 0.092 0.721
Au 0.125 0.750 0.375
Au 0.875 0.250 0.625
Au 0.750 0.625 0.375
Au 0.375 0.250 0.125
Au 0.625 0.875 0.250
Au 0.000 0.500 0.500
Au 0.500 0.000 0.500
Au 0.000 0.500 0.000
Au 0.625 0.750 0.875
Au 0.500 0.000 0.000
Au 0.250 0.875 0.125
Au 0.750 0.125 0.875
Au 0.500 0.500 0.000
Au 0.875 0.625 0.750
Au 0.250 0.375 0.625
Au 0.375 0.125 0.750
Au 0.125 0.375 0.250
Au 0.000 0.000 0.000
Au 0.000 0.000 0.500
Au 0.500 0.500 0.500
Sb 0.375 0.750 0.625
Sb 0.625 0.375 0.750
Sb 0.625 0.250 0.375
Sb 0.125 0.875 0.750
Sb 0.250 0.625 0.875
Sb 0.750 0.875 0.625
Sb 0.125 0.250 0.875
Sb 0.875 0.750 0.125
Sb 0.875 0.125 0.250
Sb 0.375 0.625 0.250
Sb 0.250 0.125 0.375
Sb 0.750 0.375 0.125



The following is a PBE calculation of a geometry-optimized Be2AuF structure, from the Alexandria database.

Crystal system: tetragonal
Calculated volume in Å³ per cell: 91.3
Total magnetic moment in μB per atom: 0.00
Mass density in g/cm3: 8.5
E_tot in eV per atom: -3.8703
Formation energy without anion corrections in eV per atom: -0.720

Cell lengths 5.298, 5.298, 4.962 Å; angles 57.74, 57.74, 90.00 degrees
Fractional positions:
Au 0.750 0.250 0.500
Au 0.000 0.000 0.000
Be 0.548 0.125 0.250
Be 0.875 0.798 0.750
Be 0.202 0.625 0.250
Be 0.375 0.452 0.750
F 0.500 0.500 0.000
F 0.250 0.750 0.500



The following is a PBE calculation of a geometry-optimized NdInGa structure, from the Alexandria database.

Crystal system: orthorhombic
Calculated volume in Å³ per cell: 148.5
Total magnetic moment in μB per atom: 0.00
ΔE_f in meV per atom: -512
Mass density in g/cm3: 7.4
E_tot in eV per atom: -4.0235

Cell lengths 4.744, 6.082, 6.082 Å; angles 83.99, 67.05, 67.05 degrees
Fractional positions:
In 0.750 0.903 0.097
In 0.250 0.097 0.903
Nd 0.000 0.000 0.500
Nd 0.500 0.500 0.000
Ga 0.750 0.568 0.432
Ga 0.250 0.432 0.568



The following is a PBE calculation of a geometry-optimized SmGdGaGe structure, from the Alexandria database.

Crystal system: cubic
Calculated volume in Å³ per cell: 95.6
Total magnetic moment in μB per atom: 1.77
ΔE_f in meV per atom: -588
Mass density in g/cm3: 7.8
E_tot in eV per atom: -7.1992

Cell lengths 5.133, 5.133, 5.133 Å; angles 60.00, 60.00, 60.00 degrees
Each line ends with the local moment (μB).
Fractional positions:
Sm 0.000 0.000 0.000  0.02
Gd 0.500 0.500 0.500  7.01
Ga 0.750 0.750 0.750  -0.03
Ge 0.250 0.250 0.250  -0.02



The following is a PBE calculation of a geometry-optimized ZnInW2 structure, from the Alexandria database.

Crystal system: monoclinic
Calculated volume in Å³ per cell: 68.1
Total magnetic moment in μB per atom: 0.00
ΔE_f in meV per atom: 508
Mass density in g/cm3: 13.4
E_tot in eV per atom: -6.9712

Cell lengths 4.979, 4.979, 5.151 Å; angles 84.34, 84.34, 32.43 degrees
Fractional positions:
Zn 0.496 0.496 0.496
W 0.754 0.754 0.761
W 0.999 0.999 0.977
In 0.250 0.250 0.265